Run 1
## RbTe2I (GGA-PBE)

Data for a geometry-optimized RbTe2I structure.

Lattice parameters (Å, degrees): 7.2656 7.2656 17.4896 90.00 90.00 90.00
Last column: nearest neighbours and their distance in Å.
Space group I-42d (No. 122)
Symmetry-distinct sites (fractional):
Rb 0.0000 0.0000 0.0000  4 Te 3.88
Te 0.1355 0.2500 0.6250  2 I 3.01
I 0.0000 0.0000 0.5000  4 Te 3.01

Run 2
## RbTe2I (GGA-PBE)

Data for a geometry-optimized RbTe2I structure.

Lattice parameters (Å, degrees): 4.1523 4.1523 33.6380 90.00 90.00 120.00
Last column: nearest neighbours and their distance in Å.
Space group R-3m (No. 166, hexagonal axes)
Symmetry-distinct sites (fractional):
Rb 0.0000 0.0000 0.0000  6 Te 3.63
Te 0.0000 0.0000 0.4144  1 I 2.88
I 0.0000 0.0000 0.5000  2 Te 2.88

Run 3
## RbTe2I (GGA-PBE)

Data for a geometry-optimized RbTe2I structure.

Lattice parameters (Å, degrees): 8.4412 8.4412 8.4412 90.00 90.00 90.00
Last column: nearest neighbours and their distance in Å.
Space group Fm-3m (No. 225)
Symmetry-distinct sites (fractional):
Rb 0.0000 0.0000 0.0000  8 Te 3.66
Te 0.2500 0.2500 0.2500  4 Rb 3.66, 4 I 3.66
I 0.0000 0.0000 0.5000  8 Te 3.66

Pick run 1: it beats the second-best structure by 2.9 kJ/mol of atoms.

Run 1
## Rb2TeI4 (GGA-PBE)

Data for a geometry-optimized Rb2TeI4 structure.

Lattice parameters (Å, degrees): 6.4368 6.4368 17.8083 90.00 90.00 90.00
Last column: nearest neighbours and their distance in Å.
Space group I4/mmm (No. 139)
Symmetry-distinct sites (fractional):
Rb 0.0000 0.0000 0.1257  5 I 3.69-3.92
Te 0.0000 0.0000 0.5000  6 I 2.98-3.22
I 0.0000 0.0000 0.3328  1 Te 2.98
I 0.0000 0.5000 0.0000  2 Te 3.22

Run 2
## Rb2TeI4 (GGA-PBE)

Data for a geometry-optimized Rb2TeI4 structure.

Lattice parameters (Å, degrees): 8.5446 8.5446 9.7759 90.00 90.00 90.00
Last column: nearest neighbours and their distance in Å.
Space group I4/mmm (No. 139)
Symmetry-distinct sites (fractional):
Rb 0.0000 0.5000 0.2500  8 I 3.89
Te 0.0000 0.0000 0.0000  4 I 3.00
I 0.2480 0.2480 0.0000  1 Te 3.00

Pick run 2: it beats the second-best structure by 7.6 kJ/mol of atoms.

Run 1
## Rb2TeI5 (GGA-PBE)

Data for a geometry-optimized Rb2TeI5 structure.

Lattice parameters (Å, degrees): 14.1127 10.3980 10.2629 90.00 90.00 90.00
Last column: nearest neighbours and their distance in Å.
Space group Pnma (No. 62)
Symmetry-distinct sites (fractional):
Rb 0.1658 0.0067 0.0947  7 I 3.62-4.05
Te 0.0167 0.2500 0.5477  4 I 2.95-3.04
I 0.0139 0.7500 0.9550  4 Rb 3.62-3.71, 2 I 3.91
I 0.0540 0.5009 0.6754  1 Te 2.97
I 0.1881 0.7500 0.3617  1 Te 3.04
I 0.2004 0.2500 0.4111  1 Te 2.95

Run 2
## Rb2TeI5 (GGA-PBE)

Data for a geometry-optimized Rb2TeI5 structure.

Lattice parameters (Å, degrees): 8.8076 8.8076 10.6020 90.00 90.00 90.00
Last column: nearest neighbours and their distance in Å.
Space group I4mm (No. 107)
Symmetry-distinct sites (fractional):
Rb 0.0000 0.5000 0.0000  10 I 4.04-4.44
Te 0.0000 0.0000 0.2493  5 I 2.98-3.17
I 0.0000 0.0000 0.9504  1 Te 3.17
I 0.2388 0.2388 0.2575  1 Te 2.98

Pick run 1: it beats the second-best structure by 1.2 kJ/mol of atoms.